[1]
Computed, not measured: a relaxed Dy3Mn5Te12 crystal at the PBE level of DFT.

The structure in extended XYZ format:
```
80
Lattice="14.688 0.000 0.000 -4.896 13.848 0.000 -4.896 -6.924 11.993" Properties=species:S:1:pos:R:3 pbc="T T T"
Te 7.952 -0.961 2.525
Mn 0.000 0.000 0.000
Te -3.056 7.885 9.468
Te -2.584 -5.462 11.563
Te 3.557 5.775 4.953
Te -6.005 3.715 8.522
Te 6.235 10.639 3.471
Te 9.928 -3.103 7.478
Te 1.811 -1.812 10.941
Te 3.056 1.756 3.901
Te -3.787 11.787 1.481
Dy -3.672 -2.597 10.494
Te -1.339 4.863 10.511
Mn -1.224 3.462 2.998
Mn 3.672 10.386 2.998
Te 7.480 3.821 4.515
Dy -3.672 2.597 10.494
Mn 3.672 2.597 1.499
Te 1.339 1.149 7.040
Mn 1.224 -3.462 8.995
Dy -6.120 6.924 8.995
Mn 4.896 -3.462 5.996
Te -1.840 -0.794 5.566
Mn 2.448 3.462 5.996
Te 5.504 5.963 9.468
Te 6.005 -1.149 7.040
Mn 7.344 0.000 0.000
Te -5.533 -0.004 9.898
Te -0.637 5.112 1.051
Te 10.429 6.928 2.095
Mn -2.448 -3.462 5.996
Mn 4.896 6.924 0.000
Te 0.608 8.680 8.092
Te 3.085 5.107 1.044
Mn -3.672 7.790 4.497
Te 2.584 -2.358 7.048
Te 1.811 1.817 10.949
Dy -1.224 6.059 7.495
Te 8.683 -4.863 10.511
Te 6.235 2.061 1.481
Mn 1.224 4.328 10.494
Te 0.136 4.566 4.945
Mn 6.120 3.462 8.995
Dy 11.016 0.000 2.998
Te -1.109 8.073 4.953
Dy 3.672 0.000 8.995
Te 7.480 12.386 0.430
Te 9.656 1.462 0.430
Mn -4.896 3.462 5.996
Te -4.760 5.462 11.563
Dy 3.672 7.790 7.495
Mn 8.568 -0.866 7.495
Te 5.533 -1.817 10.949
Dy 8.568 4.328 1.499
Te 2.312 9.282 4.945
Te -1.811 0.004 9.898
Te 4.760 2.358 7.048
Dy 1.224 6.924 2.998
Te -4.288 6.130 6.426
Te 1.840 5.168 8.092
Te 4.288 -1.756 3.901
Dy 8.568 9.521 1.499
Mn -2.448 6.924 0.000
Te -5.032 10.027 4.515
Mn -1.224 11.252 1.499
Dy 6.120 0.866 4.497
Te 6.707 6.920 2.095
Te 5.533 1.812 10.941
Mn -1.224 0.866 7.495
Te 6.736 7.718 6.426
Mn 6.120 6.059 4.497
Te -0.637 8.741 1.044
Te -1.339 -3.715 8.522
Te 3.085 8.736 1.051
Dy 1.224 -0.866 4.497
Te -2.584 3.103 7.478
Te 9.184 0.794 5.566
Te 10.901 3.209 3.471
Mn 6.120 -4.328 10.494
Te -0.608 0.961 2.525
```

Summary:
- energy relative to the elements, uncorrected (meV/atom) = -525

[2]
Computed, not measured: a relaxed DyMnTe2 crystal at the PBE level of DFT.

The structure in extended XYZ format:
```
4
Lattice="3.914 0.000 0.000 1.957 3.390 0.000 1.957 1.130 9.229" Properties=species:S:1:pos:R:3 pbc="T T T"
Te 5.871 3.390 3.027
Te 1.957 1.130 6.202
Dy 0.000 0.000 0.000
Mn 3.914 2.260 4.615
```

Summary:
- energy relative to the elements, uncorrected (meV/atom) = -198

[3]
Computed, not measured: a relaxed DyMnTe crystal at the PBE level of DFT.

The structure in extended XYZ format:
```
6
Lattice="3.761 0.000 0.000 1.880 3.257 0.000 1.880 1.086 12.721" Properties=species:S:1:pos:R:3 pbc="T T T"
Te 1.880 1.086 1.929
Te 5.641 3.257 10.792
Mn 1.880 1.086 6.385
Mn 5.641 3.257 6.336
Dy 3.761 2.171 4.189
Dy 3.761 2.171 8.532
```

Summary:
- energy relative to the elements, uncorrected (meV/atom) = -340

[4]
Computed, not measured: a relaxed DyMnTe3 crystal at the PBE level of DFT.

The structure in extended XYZ format:
```
10
Lattice="-3.566 0.973 1.998 -2.922 -7.052 -1.783 3.439 -2.623 7.417" Properties=species:S:1:pos:R:3 pbc="T T T"
Te -1.798 -0.858 3.837
Mn -0.819 -2.056 6.167
Mn -2.230 -6.646 1.465
Te -3.113 -4.741 3.380
Te -2.886 -4.967 -0.524
Dy -1.788 -5.701 6.213
Te -1.251 -7.844 3.795
Te 0.064 -3.960 4.252
Te -0.163 -3.735 8.156
Dy -1.261 -3.000 1.419
```

Summary:
- energy relative to the elements, uncorrected (meV/atom) = -732

[5]
Computed, not measured: a relaxed DyThMn4 crystal at the PBE level of DFT.

The structure in extended XYZ format:
```
6
Lattice="5.216 0.000 0.000 2.608 4.518 0.000 2.608 1.506 4.259" Properties=species:S:1:pos:R:3 pbc="T T T"
Th 2.608 1.506 1.065
Mn 5.216 3.012 0.525
Dy 0.000 0.000 0.000
Mn 5.216 1.498 2.665
Mn 3.906 3.768 2.665
Mn 6.527 3.768 2.665
```

Summary:
- calculated formation energy (eV/atom) = 0.08

[6]
Computed, not measured: a relaxed DyThMn2 crystal at the PBE level of DFT.

The structure in extended XYZ format:
```
4
Lattice="-3.305 1.325 0.455 -0.496 -2.195 2.797 2.508 4.807 4.217" Properties=species:S:1:pos:R:3 pbc="T T T"
Mn 0.709 1.360 1.193
Dy -1.900 -0.435 1.626
Mn 1.799 3.447 3.024
Th -0.646 1.969 3.734
```

Summary:
- calculated formation energy (eV/atom) = 0.19

[7]
Computed, not measured: a relaxed Dy2ThMn crystal at the PBE level of DFT.

The structure in extended XYZ format:
```
4
Lattice="3.496 0.000 0.000 0.000 3.496 0.000 0.000 0.000 8.806" Properties=species:S:1:pos:R:3 pbc="T T T"
Dy 0.000 0.000 7.016
Dy 0.000 0.000 1.790
Th 1.748 1.748 4.403
Mn 1.748 1.748 0.000
```

Summary:
- calculated formation energy (eV/atom) = 0.15
- energy above the lowest structure with this stoichiometry (meV per atom) = 0

[8]
Computed, not measured: a relaxed DyThMn crystal at the PBE level of DFT.

The structure in extended XYZ format:
```
12
Lattice="-0.210 -6.553 -1.762 6.261 -0.628 1.590 -3.491 -1.477 5.909" Properties=species:S:1:pos:R:3 pbc="T T T"
Th 0.053 -6.550 0.125
Mn -1.822 -2.401 2.604
Mn 4.382 -6.256 3.133
Th 3.257 -4.554 1.541
Dy -0.837 -7.396 3.394
Th -0.698 -4.104 4.196
Mn 1.252 -5.945 2.338
Dy 2.367 -5.409 4.808
Mn 1.308 -2.713 3.400
Dy 3.397 -1.262 2.343
Th 2.507 -2.108 5.612
Dy 0.193 -3.249 0.929
```

Summary:
- calculated formation energy (eV/atom) = 0.21
- energy above the lowest structure with this stoichiometry (meV per atom) = 16

[9]
Computed, not measured: a relaxed DyTh3Mn crystal at the PBE level of DFT.

The structure in extended XYZ format:
```
5
Lattice="-4.849 0.746 2.047 1.130 -3.409 3.920 1.863 4.011 2.951" Properties=species:S:1:pos:R:3 pbc="T T T"
Dy -0.928 0.674 4.459
Mn 0.000 0.000 0.000
Th 0.565 -1.704 1.960
Th 0.932 2.005 1.475
Th -2.425 0.373 1.024
```

Summary:
- calculated formation energy (eV/atom) = 0.15

[10]
Computed, not measured: a relaxed DyThMn2 crystal at the PBE level of DFT.

The structure in extended XYZ format:
```
4
Lattice="-3.561 0.557 0.199 -0.684 -2.971 -3.926 -0.441 -3.910 3.036" Properties=species:S:1:pos:R:3 pbc="T T T"
Mn -0.342 -1.485 -1.963
Th -2.343 -3.162 -0.345
Mn -0.221 -1.955 1.518
Dy -1.781 0.278 0.100
```

Summary:
- calculated formation energy (eV/atom) = 0.20

[11]
Computed, not measured: a relaxed DyThMn crystal at the PBE level of DFT.

The structure in extended XYZ format:
```
3
Lattice="-3.507 0.537 0.512 -0.018 -2.535 2.534 2.993 5.107 2.596" Properties=species:S:1:pos:R:3 pbc="T T T"
Dy 0.772 2.577 2.584
Th 0.060 0.201 0.202
Mn -1.364 0.331 2.857
```

Summary:
- calculated formation energy (eV/atom) = 0.20
- energy above the lowest structure with this stoichiometry (meV per atom) = 0

[12]
Computed, not measured: a relaxed DyThMn17 crystal at the PBE level of DFT.

The structure in extended XYZ format:
```
19
Lattice="6.321 -0.148 0.580 0.516 6.301 0.580 -0.164 -0.148 6.345" Properties=species:S:1:pos:R:3 pbc="T T T"
Mn 5.066 6.147 2.731
Mn 4.572 1.462 6.918
Mn 6.399 2.859 7.198
Mn 4.042 0.601 4.547
Mn 6.012 5.411 6.763
Dy 4.322 3.890 4.861
Th 2.365 2.129 2.661
Mn 2.119 6.147 5.351
Mn 6.737 6.064 4.333
Mn 4.396 3.957 1.548
Mn 3.514 6.064 7.198
Mn 2.642 5.413 2.973
Mn 1.022 3.957 4.547
Mn 6.644 4.393 2.731
Mn 5.660 2.060 2.973
Mn 1.934 4.393 6.918
Mn 2.289 2.060 5.969
Mn 0.664 0.598 0.747
Mn 6.335 1.462 5.351
```

Summary:
- calculated formation energy (eV/atom) = 0.00

[13]
Computed, not measured: a relaxed Dy2ThMn crystal at the PBE level of DFT.

The structure in extended XYZ format:
```
4
Lattice="3.435 0.000 0.000 1.718 2.975 0.000 1.718 0.992 11.318" Properties=species:S:1:pos:R:3 pbc="T T T"
Mn 0.000 0.000 0.000
Th 3.435 1.983 5.659
Dy 1.718 0.992 8.489
Dy 5.153 2.975 2.829
```

Summary:
- calculated formation energy (eV/atom) = 0.52
- energy above the lowest structure with this stoichiometry (meV per atom) = 371

[14]
Computed, not measured: a relaxed DyThMnZn crystal at the PBE level of DFT.

The structure in extended XYZ format:
```
4
Lattice="-3.505 -3.241 1.685 -2.202 -3.239 -3.207 1.050 -4.944 0.277" Properties=species:S:1:pos:R:3 pbc="T T T"
Mn -2.328 -5.712 -0.622
Th -1.164 -2.856 -0.311
Zn 0.000 0.000 0.000
Dy -3.492 -8.568 -0.934
```

Summary:
- calculated formation energy (eV/atom) = 0.00

[15]
Computed, not measured: a relaxed DyTi2Mn crystal at the PBE level of DFT.

The structure in extended XYZ format:
```
4
Lattice="3.068 0.000 0.000 0.000 3.068 0.000 0.000 0.000 7.730" Properties=species:S:1:pos:R:3 pbc="T T T"
Ti 0.000 0.000 1.381
Dy 1.534 1.534 3.865
Mn 1.534 1.534 0.000
Ti 0.000 0.000 6.349
```

Summary:
- calculated formation energy (eV/atom) = 0.03

[16]
Computed, not measured: a relaxed Dy4MnTl crystal at the PBE level of DFT.

The structure in extended XYZ format:
```
12
Lattice="-0.845 -4.158 4.301 2.957 -4.561 -5.596 5.520 4.291 3.463" Properties=species:S:1:pos:R:3 pbc="T T T"
Dy 2.090 -4.961 -1.910
Tl 3.284 -4.363 1.024
Dy 5.562 -3.202 3.007
Tl 4.348 -0.065 1.144
Dy 5.580 -2.518 -0.571
Dy 2.070 -1.226 -0.840
Mn 2.747 -5.595 -4.515
Dy 2.052 -1.910 2.738
Mn 4.885 1.166 6.683
Dy 4.250 -3.310 -4.134
Dy 3.382 -1.118 6.301
Dy 5.542 0.532 4.078
```

Summary:
- calculated formation energy (eV/atom) = -0.08

[17]
Computed, not measured: a relaxed DyTmMnTl crystal at the PBE level of DFT.

The structure in extended XYZ format:
```
4
Lattice="-4.839 -1.666 0.805 -3.062 -1.109 -4.029 -1.250 -4.922 -1.026" Properties=species:S:1:pos:R:3 pbc="T T T"
Tm -6.863 -5.773 -3.188
Tl 0.000 0.000 0.000
Mn -4.575 -3.848 -2.125
Dy -2.288 -1.924 -1.063
```

Summary:
- calculated formation energy (eV/atom) = -0.01

[18]
Computed, not measured: a relaxed DyTmMn2 crystal at the PBE level of DFT.

The structure in extended XYZ format:
```
4
Lattice="-4.593 1.296 -1.265 -2.022 -1.795 -4.131 -3.661 -3.301 0.276" Properties=species:S:1:pos:R:3 pbc="T T T"
Mn -7.707 -2.850 -3.840
Mn -2.569 -0.950 -1.280
Tm -5.138 -1.900 -2.560
Dy 0.000 0.000 0.000
```

Summary:
- calculated formation energy (eV/atom) = 0.18
- energy above the lowest structure with this stoichiometry (meV per atom) = 0

[19]
Computed, not measured: a relaxed DyTmMn2 crystal at the PBE level of DFT.

The structure in extended XYZ format:
```
4
Lattice="-1.026 -3.413 0.101 4.399 -1.372 -1.674 1.641 -0.357 4.606" Properties=species:S:1:pos:R:3 pbc="T T T"
Mn 0.821 -0.179 2.303
Tm -0.513 -1.707 0.050
Mn 2.199 -0.686 -0.837
Dy 2.507 -2.571 1.516
```

Summary:
- calculated formation energy (eV/atom) = 0.18
- energy above the lowest structure with this stoichiometry (meV per atom) = 5

[20]
Computed, not measured: a relaxed DyUMn4 crystal at the PBE level of DFT.

The structure in extended XYZ format:
```
6
Lattice="-2.461 -3.000 3.313 -1.105 -4.820 -1.257 2.459 -3.854 2.264" Properties=species:S:1:pos:R:3 pbc="T T T"
Dy 0.000 0.000 0.000
U -0.277 -2.918 1.080
Mn -0.691 -7.282 2.695
Mn -0.144 -4.896 3.317
Mn -1.908 -5.374 1.574
Mn 0.527 -5.797 1.055
```

Summary:
- calculated formation energy (eV/atom) = 0.14

[21]
Computed, not measured: a relaxed DyUMn17 crystal at the PBE level of DFT.

The structure in extended XYZ format:
```
19
Lattice="-2.164 -1.421 5.716 5.457 1.233 2.842 -1.553 5.927 1.356" Properties=species:S:1:pos:R:3 pbc="T T T"
Mn 2.498 2.781 9.194
Mn 3.515 2.708 5.056
Mn 0.179 0.592 1.022
Mn 1.567 5.168 8.929
Mn 1.885 0.680 5.627
Mn 0.359 4.628 1.758
Dy 1.125 3.711 6.411
Mn 3.529 2.506 2.431
Mn 2.800 6.412 7.039
Mn -1.628 3.033 4.882
Mn -0.524 1.302 6.579
Mn 2.191 4.363 3.442
Mn -1.711 3.907 2.539
U 0.616 2.031 3.509
Mn -1.987 0.584 4.511
Mn -0.200 5.196 4.268
Mn -0.966 5.100 8.459
Mn 3.363 0.509 3.615
Mn -0.083 -0.691 4.915
```

Summary:
- calculated formation energy (eV/atom) = 0.03

[22]
Computed, not measured: a relaxed Dy3U2Mn4 crystal at the PBE level of DFT.

The structure in extended XYZ format:
```
9
Lattice="-0.214 3.652 -1.619 3.082 -3.527 -3.420 -7.963 -1.529 -2.398" Properties=species:S:1:pos:R:3 pbc="T T T"
Mn -0.514 -0.114 -5.131
U 0.140 -1.448 -3.286
Dy -2.378 0.823 -2.773
Mn 0.572 0.873 -3.050
Mn -5.667 -2.276 -4.387
Dy 0.000 0.000 0.000
Mn -4.581 -1.290 -2.306
Dy -2.717 -2.227 -4.664
U -5.235 0.045 -4.151
```

Summary:
- calculated formation energy (eV/atom) = -0.04